The following is a DFT calculation (GGA-PBE) of an optimized crystal structure of Mg2TaSiOs.

Calculated values
D(E_F) ... 0.927 states/eV/atom
Formation energy from raw total energies ... 1.65 eV/atom
Final energy ... -4.693 eV per atom

Unit cell a=5.352 b=5.352 c=4.632 alpha=90.00 beta=90.00 gamma=90.00
Space group P4/mmm (No. 123)
Asymmetric unit:
Mg  0.000  0.500  0.000 (multiplicity 2)
Ta  0.000  0.000  0.000 (multiplicity 1)
Si  0.500  0.500  0.500 (multiplicity 1)
Os  0.000  0.000  0.500 (multiplicity 1)